# 1
Density functional theory data (SCAN) for TaNiSb at its PBEsol-relaxed geometry.

Output
Crystal system = trigonal

Unit cell a=3.032 b=3.032 c=6.418 alpha=90.00 beta=90.00 gamma=120.00
Element x y z (fractional)
Ni (0.000, 0.000, 0.008)
Sb (0.333, 0.667, 0.684)
Ta (0.667, 0.333, 0.308)

=====

# 2
Density functional theory data (SCAN) for LaAgSe at its PBEsol-relaxed geometry.

Output
Crystal system = cubic

Unit cell a=4.831 b=4.831 c=4.831 alpha=60.00 beta=60.00 gamma=60.00
Element x y z (fractional)
Ag (0.000, 0.000, 0.000)
La (0.500, 0.500, 0.500)
Se (0.250, 0.250, 0.250)

=====

# 3
Density functional theory data (SCAN) for Tc2HgSb at its PBEsol-relaxed geometry.

Output
Crystal system = tetragonal
Excess energy over the best structure of this formula in the dataset = 131 meV/atom

Unit cell a=3.996 b=3.996 c=5.088 alpha=113.12 beta=113.12 gamma=90.00
Element x y z (fractional)
Hg (0.500, 0.500, 0.000)
Sb (0.250, 0.750, 0.500)
Tc (0.000, 0.000, 0.000)
Tc (0.750, 0.250, 0.500)

=====

Number 1: density of states at the Fermi level 2.43 states/eV per cell, ΔE_f (raw) 264 meV/atom. Number 2: density of states at the Fermi level 3.71 states/eV per cell, ΔE_f (raw) -770 meV/atom. Number 3: density of states at the Fermi level 3.94 states/eV per cell, ΔE_f (raw) 673 meV/atom.